No. 1
Crystalline Nd4Zn2Ag at its relaxed geometry, computed with PBE.

N(E_F): 21.9 states/eV per cell
total DFT energy (no corrections): -3.64 eV per atom
mass density: 6.841 g/cm3
volume: 396.0 Å³/cell

```
data_Nd4Zn2Ag
_cell_length_a 7.470
_cell_length_b 10.334
_cell_length_c 5.130
_cell_angle_alpha 90.00
_cell_angle_beta 90.00
_cell_angle_gamma 90.00
_symmetry_space_group_name_H-M 'C m m m'
_symmetry_Int_Tables_number 65
_symmetry_space_group_name_Hall '-C 2 2'
loop_
_atom_site_label
_atom_site_fract_x
_atom_site_fract_y
_atom_site_fract_z
_atom_site_occupancy
Nd1 0.242 0.000 0.000 1
Nd2 0.250 0.250 0.500 1
Zn1 0.000 0.254 0.000 1
Ag1 0.000 0.500 0.500 1
```

***

No. 2
Crystalline SmGePb2 at its relaxed geometry, computed with PBE.

N(E_F): 2.2 states/eV per cell
total DFT energy (no corrections): -4.50 eV per atom
energy above the lowest structure with this stoichiometry: 0.00 eV/f.u.
mass density: 9.846 g/cm3
volume: 107.5 Å³/cell

```
data_SmGePb2
_cell_length_a 4.657
_cell_length_b 4.657
_cell_length_c 4.957
_cell_angle_alpha 90.00
_cell_angle_beta 90.00
_cell_angle_gamma 90.00
_symmetry_space_group_name_H-M 'P 4/m m m'
_symmetry_Int_Tables_number 123
_symmetry_space_group_name_Hall '-P 4 2'
loop_
_atom_site_label
_atom_site_fract_x
_atom_site_fract_y
_atom_site_fract_z
_atom_site_occupancy
Sm1 0.000 0.000 0.000 1
Ge1 0.500 0.500 0.000 1
Pb1 0.000 0.500 0.500 1
```

***

No. 3
Crystalline RbNa2Zr at its relaxed geometry, computed with PBE.

N(E_F): 25.9 states/eV per cell
total DFT energy (no corrections): -2.13 eV per atom
energy above the lowest structure with this stoichiometry: 0.00 eV/f.u.
mass density: 2.365 g/cm3
volume: 625.4 Å³/cell

```
data_RbNa2Zr
_cell_length_a 8.552
_cell_length_b 8.552
_cell_length_c 8.552
_cell_angle_alpha 90.00
_cell_angle_beta 90.00
_cell_angle_gamma 90.00
_symmetry_space_group_name_H-M 'F m -3 m'
_symmetry_Int_Tables_number 225
_symmetry_space_group_name_Hall '-F 4 2 3'
loop_
_atom_site_label
_atom_site_fract_x
_atom_site_fract_y
_atom_site_fract_z
_atom_site_occupancy
Rb1 0.000 0.000 0.000 1
Na1 0.250 0.250 0.250 1
Zr1 0.000 0.000 0.500 1
```

***

No. 4
Crystalline TaCoCu2 at its relaxed geometry, computed with PBE.

N(E_F): 5.7 states/eV per cell
total DFT energy (no corrections): -6.58 eV per atom
energy above the lowest structure with this stoichiometry: 0.72 eV/f.u.
mass density: 11.445 g/cm3
volume: 106.5 Å³/cell

```
data_TaCoCu2
_cell_length_a 4.933
_cell_length_b 7.993
_cell_length_c 2.701
_cell_angle_alpha 90.00
_cell_angle_beta 90.00
_cell_angle_gamma 90.00
_symmetry_space_group_name_H-M 'C m m m'
_symmetry_Int_Tables_number 65
_symmetry_space_group_name_Hall '-C 2 2'
loop_
_atom_site_label
_atom_site_fract_x
_atom_site_fract_y
_atom_site_fract_z
_atom_site_occupancy
Ta1 0.000 0.000 0.000 1
Co1 0.000 0.500 0.000 1
Cu1 0.250 0.250 0.500 1
```

***

No. 5
Crystalline LiGaNi2I at its relaxed geometry, computed with PBE.

N(E_F): 3.0 states/eV per cell
total DFT energy (no corrections): -2.91 eV per atom
mass density: 6.165 g/cm3
raw formation energy: 0.704 eV per atom
volume: 86.4 Å³/cell

```
data_LiGaNi2I
_cell_length_a 4.427
_cell_length_b 4.427
_cell_length_c 4.410
_cell_angle_alpha 90.00
_cell_angle_beta 90.00
_cell_angle_gamma 90.00
_symmetry_space_group_name_H-M 'P 4/m m m'
_symmetry_Int_Tables_number 123
_symmetry_space_group_name_Hall '-P 4 2'
loop_
_atom_site_label
_atom_site_fract_x
_atom_site_fract_y
_atom_site_fract_z
_atom_site_occupancy
Li1 0.000 0.000 0.000 1
Ga1 0.000 0.000 0.500 1
Ni1 0.000 0.500 0.000 1
I1 0.500 0.500 0.500 1
```

***

No. 6
Crystalline La2TlInNi at its relaxed geometry, computed with PBE.

N(E_F): 4.6 states/eV per cell
total DFT energy (no corrections): -4.45 eV per atom
energy above the lowest structure with this stoichiometry: 0.29 eV/f.u.
mass density: 7.480 g/cm3
volume: 145.6 Å³/cell

```
data_La2TlInNi
_cell_length_a 5.390
_cell_length_b 5.390
_cell_length_c 5.012
_cell_angle_alpha 90.00
_cell_angle_beta 90.00
_cell_angle_gamma 90.00
_symmetry_space_group_name_H-M 'P 4/m m m'
_symmetry_Int_Tables_number 123
_symmetry_space_group_name_Hall '-P 4 2'
loop_
_atom_site_label
_atom_site_fract_x
_atom_site_fract_y
_atom_site_fract_z
_atom_site_occupancy
La1 0.000 0.500 0.000 1
Tl1 0.000 0.000 0.500 1
In1 0.500 0.500 0.500 1
Ni1 0.000 0.000 0.000 1
```

***

No. 7
Crystalline SrPtSe2 at its relaxed geometry, computed with PBE.

N(E_F): 6.4 states/eV per cell
total DFT energy (no corrections): -4.10 eV per atom
energy above the lowest structure with this stoichiometry: 2.35 eV/f.u.
mass density: 6.890 g/cm3
raw formation energy: -0.424 eV per atom
volume: 318.6 Å³/cell

```
data_SrPtSe2
_cell_length_a 5.1366
_cell_length_b 5.1366
_cell_length_c 13.9415
_cell_angle_alpha 90.00
_cell_angle_beta 90.00
_cell_angle_gamma 120.00
_symmetry_space_group_name_H-M 'R 3 m'
_symmetry_Int_Tables_number 160
_symmetry_space_group_name_Hall 'R 3 -2"'
loop_
_atom_site_label
_atom_site_fract_x
_atom_site_fract_y
_atom_site_fract_z
_atom_site_occupancy
Sr1 0.0000 0.0000 0.0000 1
Pt1 0.0000 0.0000 0.2497 1
Se1 0.0000 0.0000 0.4188 1
Se2 0.0000 0.0000 0.7867 1
```

***

No. 8
Crystalline Pm2Ga3Ni4Ge at its relaxed geometry, computed with PBE.

N(E_F): 6.7 states/eV per cell
total DFT energy (no corrections): -5.22 eV per atom
mass density: 7.917 g/cm3
volume: 169.2 Å³/cell

```
data_Pm2Ga3Ni4Ge
_cell_length_a 4.166
_cell_length_b 4.166
_cell_length_c 9.749
_cell_angle_alpha 90.00
_cell_angle_beta 90.00
_cell_angle_gamma 90.00
_symmetry_space_group_name_H-M 'P -4 m 2'
_symmetry_Int_Tables_number 115
loop_
_symmetry_equiv_pos_as_xyz
'x,y,z'
'y,-x,-z'
'-x,-y,z'
'-y,x,-z'
'-x,y,z'
'-y,-x,-z'
'x,-y,z'
'y,x,-z'
loop_
_atom_site_label
_atom_site_fract_x
_atom_site_fract_y
_atom_site_fract_z
_atom_site_occupancy
Pm1 0.000 0.500 0.250 1
Ga1 0.000 0.000 0.000 1
Ga2 0.000 0.500 0.626 1
Ni1 0.000 0.000 0.500 1
Ni2 0.000 0.500 0.872 1
Ni3 0.500 0.500 0.500 1
Ge1 0.500 0.500 0.000 1
```

***

No. 9
Crystalline CdNiHgPd2 at its relaxed geometry, computed with PBE.

N(E_F): 1.7 states/eV per cell
total DFT energy (no corrections): -2.62 eV per atom
mass density: 7.989 g/cm3
volume: 121.5 Å³/cell

```
data_CdNiHgPd2
_cell_length_a 5.062
_cell_length_b 5.062
_cell_length_c 4.742
_cell_angle_alpha 90.00
_cell_angle_beta 90.00
_cell_angle_gamma 90.00
_symmetry_space_group_name_H-M 'P 4/m m m'
_symmetry_Int_Tables_number 123
_symmetry_space_group_name_Hall '-P 4 2'
loop_
_atom_site_label
_atom_site_fract_x
_atom_site_fract_y
_atom_site_fract_z
_atom_site_occupancy
Cd1 0.000 0.000 0.000 1
Ni1 0.500 0.500 0.000 1
Hg1 0.500 0.500 0.500 1
Pd1 0.000 0.500 0.500 1
```

***

No. 10
Crystalline CuRhS2N at its relaxed geometry, computed with PBE.

N(E_F): 3.7 states/eV per cell
total DFT energy (no corrections): -4.47 eV per atom
energy above the lowest structure with this stoichiometry: 1.84 eV/f.u.
mass density: 5.434 g/cm3
raw formation energy: 1.136 eV per atom
volume: 74.7 Å³/cell

```
data_CuRhS2N
_cell_length_a 4.623
_cell_length_b 4.623
_cell_length_c 3.497
_cell_angle_alpha 90.00
_cell_angle_beta 90.00
_cell_angle_gamma 90.00
_symmetry_space_group_name_H-M 'P 4/m m m'
_symmetry_Int_Tables_number 123
_symmetry_space_group_name_Hall '-P 4 2'
loop_
_atom_site_label
_atom_site_fract_x
_atom_site_fract_y
_atom_site_fract_z
_atom_site_occupancy
Cu1 0.000 0.000 0.000 1
Rh1 0.500 0.500 0.500 1
S1 0.000 0.500 0.000 1
N1 0.000 0.000 0.500 1
```

***

No. 11
Crystalline Cd4PdAu2 at its relaxed geometry, computed with PBE.

N(E_F): 4.9 states/eV per cell
total DFT energy (no corrections): -2.37 eV per atom
energy above the lowest structure with this stoichiometry: 0.55 eV/f.u.
mass density: 11.033 g/cm3
volume: 571.9 Å³/cell

```
data_Cd4PdAu2
_cell_length_a 8.336
_cell_length_b 8.336
_cell_length_c 8.230
_cell_angle_alpha 90.00
_cell_angle_beta 90.00
_cell_angle_gamma 90.00
_symmetry_space_group_name_H-M 'I -4 2 d'
_symmetry_Int_Tables_number 122
_symmetry_space_group_name_Hall 'I -4 2bw'
loop_
_atom_site_label
_atom_site_fract_x
_atom_site_fract_y
_atom_site_fract_z
_atom_site_occupancy
Cd1 0.078 0.171 0.290 1
Pd1 0.000 0.000 0.000 1
Au1 0.122 0.250 0.625 1
```

***

No. 12
Crystalline CuNiSn4 at its relaxed geometry, computed with PBE.

N(E_F): 2.9 states/eV per cell
total DFT energy (no corrections): -4.39 eV per atom
energy above the lowest structure with this stoichiometry: 0.00 eV/f.u.
mass density: 7.551 g/cm3
volume: 131.3 Å³/cell

```
data_CuNiSn4
_cell_length_a 4.506
_cell_length_b 4.506
_cell_length_c 6.469
_cell_angle_alpha 90.00
_cell_angle_beta 90.00
_cell_angle_gamma 90.00
_symmetry_space_group_name_H-M 'P 4/m m m'
_symmetry_Int_Tables_number 123
_symmetry_space_group_name_Hall '-P 4 2'
loop_
_atom_site_label
_atom_site_fract_x
_atom_site_fract_y
_atom_site_fract_z
_atom_site_occupancy
Cu1 0.000 0.000 0.000 1
Ni1 0.500 0.500 0.500 1
Sn1 0.000 0.500 0.257 1
```

***

Question: What is the volume in the second record?
Answer: 107.5 Å³/cell

***

Please write out number 9 again, unchanged.
Crystalline CdNiHgPd2 at its relaxed geometry, computed with PBE.

N(E_F): 1.7 states/eV per cell
total DFT energy (no corrections): -2.62 eV per atom
mass density: 7.989 g/cm3
volume: 121.5 Å³/cell

```
data_CdNiHgPd2
_cell_length_a 5.062
_cell_length_b 5.062
_cell_length_c 4.742
_cell_angle_alpha 90.00
_cell_angle_beta 90.00
_cell_angle_gamma 90.00
_symmetry_space_group_name_H-M 'P 4/m m m'
_symmetry_Int_Tables_number 123
_symmetry_space_group_name_Hall '-P 4 2'
loop_
_atom_site_label
_atom_site_fract_x
_atom_site_fract_y
_atom_site_fract_z
_atom_site_occupancy
Cd1 0.000 0.000 0.000 1
Ni1 0.500 0.500 0.000 1
Hg1 0.500 0.500 0.500 1
Pd1 0.000 0.500 0.500 1
```

***

Question: Which formula does entry 8 have?
Answer: Pm2Ga3Ni4Ge